P.
Computed, not measured: a PBEsol-optimized structure of PrAsO4 at the meta-GGA SCAN level of DFT.

Properties
Fermi-level density of states ... 0.000 states/eV/atom

Structure (POSCAR):
```
PrAsO4
1.0
-5.614 -2.372 -0.461
4.153 -2.194 -3.910
2.004 -1.395 5.603
O As Pr
8 2 2
Direct
0.849 0.670 0.179
0.491 0.670 0.821
0.759 0.080 0.679
0.920 0.241 0.321
0.330 0.509 0.179
0.401 0.080 0.321
0.920 0.599 0.679
0.330 0.151 0.821
0.500 0.500 0.000
0.750 0.250 0.500
0.250 0.750 0.500
0.000 0.000 0.000
```

=====

Q.
Computed, not measured: a PBEsol-optimized structure of PrAsO4 at the meta-GGA SCAN level of DFT.

Properties
Fermi-level density of states ... 0.000 states/eV/atom

Structure (POSCAR):
```
PrAsO4
1.0
5.142 0.000 0.000
0.000 5.142 0.000
-2.571 -2.571 5.821
Pr O As
2 8 2
Direct
0.250 0.750 0.500
0.000 0.000 0.000
0.283 0.175 0.843
0.918 0.033 0.343
0.559 0.668 0.843
0.825 0.441 0.157
0.425 0.309 0.343
0.967 0.575 0.657
0.332 0.717 0.157
0.691 0.082 0.657
0.750 0.250 0.500
0.500 0.500 0.000
```

=====

Stability order, top to bottom: Q, P

=====

P.
Computed, not measured: a PBEsol-optimized structure of RbAs2SeO at the meta-GGA SCAN level of DFT.

Properties
Fermi-level density of states ... 1.009 states/eV/atom

Structure (POSCAR):
```
RbAs2SeO
1.0
4.449 0.000 0.000
0.000 4.449 0.000
0.000 0.000 5.136
As Se Rb O
2 1 1 1
Direct
0.500 0.000 0.000
0.000 0.500 0.000
0.000 0.000 0.500
0.500 0.500 0.500
0.000 0.000 0.000
```

=====

Q.
Computed, not measured: a PBEsol-optimized structure of RbAs2SeO at the meta-GGA SCAN level of DFT.

Properties
Fermi-level density of states ... 0.607 states/eV/atom

Structure (POSCAR):
```
RbAs2SeO
1.0
4.377 0.000 0.000
0.000 4.377 0.000
0.000 0.000 5.298
As O Rb Se
2 1 1 1
Direct
0.000 0.500 0.000
0.500 0.000 0.000
0.000 0.000 0.000
0.000 0.000 0.500
0.500 0.500 0.500
```

=====

Stability order, top to bottom: Q, P

=====

P.
Computed, not measured: a PBEsol-optimized structure of SbAsO2 at the meta-GGA SCAN level of DFT.

Properties
Fermi-level density of states ... 0.578 states/eV/atom

Structure (POSCAR):
```
SbAsO2
1.0
-2.831 -1.257 2.834
-0.296 -4.064 1.011
1.259 -1.320 3.781
As O Sb
1 2 1
Direct
0.000 0.000 0.000
0.750 0.750 0.750
0.250 0.250 0.250
0.500 0.500 0.500
```

=====

Q.
Computed, not measured: a PBEsol-optimized structure of SbAsO2 at the meta-GGA SCAN level of DFT.

Properties
Fermi-level density of states ... 0.328 states/eV/atom

Structure (POSCAR):
```
SbAsO2
1.0
-2.224 -4.822 -0.822
4.659 0.167 3.972
-1.325 -0.276 5.200
As O Sb
2 4 2
Direct
0.500 0.000 0.500
0.250 0.500 0.250
0.875 0.250 0.516
0.375 0.250 0.234
0.234 0.750 0.875
0.516 0.750 0.375
0.000 0.000 0.000
0.750 0.500 0.750
```

=====

Stability order, top to bottom: Q, P

=====

P.
Computed, not measured: a PBEsol-optimized structure of V3As2O9 at the meta-GGA SCAN level of DFT.

Properties
Fermi-level density of states ... 0.154 states/eV/atom

Structure (POSCAR):
```
V3As2O9
1.0
-3.419 -4.106 -0.350
2.870 -4.300 -1.393
0.832 -2.878 5.548
O V As
9 3 2
Direct
0.502 0.502 0.997
0.886 0.272 0.693
0.211 0.211 0.310
0.630 0.630 0.371
0.118 0.732 0.302
0.732 0.118 0.302
0.374 0.374 0.624
0.793 0.793 0.685
0.272 0.886 0.693
0.590 0.590 0.707
0.414 0.414 0.288
0.002 0.002 0.497
0.184 0.184 0.821
0.820 0.820 0.173
```

=====

Q.
Computed, not measured: a PBEsol-optimized structure of V3As2O9 at the meta-GGA SCAN level of DFT.

Structure (POSCAR):
```
V3As2O9
1.0
-1.733 3.582 1.049
0.084 -2.502 8.687
8.199 3.680 0.981
V O As
6 18 4
Direct
0.435 0.500 0.500
0.435 0.000 0.000
0.377 0.885 0.615
0.377 0.615 0.115
0.377 0.115 0.385
0.377 0.385 0.885
0.519 0.875 0.822
0.978 0.121 0.379
0.456 0.405 0.095
0.519 0.178 0.875
0.978 0.621 0.121
0.456 0.905 0.405
0.519 0.625 0.322
0.456 0.595 0.905
0.519 0.678 0.625
0.041 0.500 0.500
0.519 0.125 0.178
0.519 0.375 0.678
0.519 0.322 0.375
0.978 0.379 0.879
0.978 0.879 0.621
0.519 0.822 0.125
0.456 0.095 0.595
0.041 0.000 0.000
0.750 0.798 0.298
0.750 0.298 0.202
0.750 0.202 0.702
0.750 0.702 0.798
```

=====

Stability order, top to bottom: P, Q